Here is a relaxed Er2Tm3Sc2 crystal from the Alexandria database. Energies are from PBE.

Values from the calculation:
The calculation puts the formation energy at 0.22 eV per atom. For the uncorrected energy, the calculation gives -67.388 eV per cell. The density of states at the Fermi level comes out at 21.703 states/eV per cell. Its symmetry is No. 14.

Structure (POSCAR):
```
Er2Tm3Sc2
1.0
6.257 0.000 0.000
0.000 10.335 0.000
-0.230 0.000 6.312
Er Tm Sc
4 6 4
direct
0.139 0.243 0.249
0.139 0.257 0.749
0.861 0.743 0.251
0.861 0.757 0.751
0.000 0.000 0.000
0.000 0.500 0.500
0.254 0.556 0.024
0.254 0.944 0.524
0.746 0.056 0.476
0.746 0.444 0.976
0.449 0.646 0.526
0.449 0.854 0.026
0.551 0.146 0.974
0.551 0.354 0.474
```

Here is a relaxed Er9TmSc2 crystal from the Alexandria database. Energies are from PBE.

Values from the calculation:
The calculation puts the formation energy at 0.04 eV per atom. For the uncorrected energy, the calculation gives -57.746 eV per cell. The density of states at the Fermi level comes out at 18.554 states/eV per cell. Its symmetry is No. 123.

Structure (POSCAR):
```
Er9TmSc2
1.0
4.903 0.000 0.000
0.000 4.903 0.000
0.000 0.000 14.686
Er Tm Sc
9 1 2
direct
0.000 0.000 0.000
0.000 0.000 0.335
0.000 0.000 0.665
0.000 0.500 0.170
0.000 0.500 0.500
0.000 0.500 0.830
0.500 0.000 0.170
0.500 0.000 0.500
0.500 0.000 0.830
0.500 0.500 0.000
0.500 0.500 0.335
0.500 0.500 0.665
```

Here is a relaxed Er5Tm4Sc2 crystal from the Alexandria database. Energies are from PBE.

Values from the calculation:
The calculation puts the formation energy at 0.04 eV per atom. For the uncorrected energy, the calculation gives -52.936 eV per cell. The density of states at the Fermi level comes out at 16.573 states/eV per cell. Its symmetry is No. 2.

Structure (POSCAR):
```
Er5Tm4Sc2
1.0
4.892 0.000 0.000
-2.436 5.461 0.000
-0.016 -3.273 12.010
Er Tm Sc
5 4 2
direct
0.000 0.000 0.000
0.181 0.363 0.270
0.364 0.728 0.548
0.636 0.272 0.452
0.819 0.637 0.730
0.090 0.180 0.638
0.273 0.546 0.910
0.727 0.454 0.090
0.910 0.820 0.362
0.454 0.908 0.181
0.546 0.092 0.819
```

Here is a relaxed Er6Tm3Sc crystal from the Alexandria database. Energies are from PBE.

Values from the calculation:
The calculation puts the formation energy at 0.14 eV per atom. For the uncorrected energy, the calculation gives -91.369 eV per cell. The density of states at the Fermi level comes out at 30.450 states/eV per cell. Its symmetry is No. 36.

Structure (POSCAR):
```
Er6Tm3Sc
1.0
5.384 -9.312 0.000
5.384 9.312 0.000
0.000 0.000 6.061
Er Tm Sc
12 6 2
direct
0.045 0.465 0.073
0.049 0.951 0.500
0.280 0.720 0.786
0.289 0.382 0.893
0.382 0.289 0.393
0.465 0.045 0.573
0.535 0.955 0.073
0.618 0.711 0.893
0.711 0.618 0.393
0.720 0.280 0.286
0.951 0.049 0.000
0.955 0.535 0.573
0.056 0.276 0.474
0.276 0.056 0.974
0.389 0.611 0.360
0.611 0.389 0.860
0.724 0.944 0.474
0.944 0.724 0.974
0.207 0.793 0.289
0.793 0.207 0.789
```

Here is a relaxed Er5TmSc4 crystal from the Alexandria database. Energies are from PBE.

Values from the calculation:
The calculation puts the formation energy at 0.34 eV per atom. For the uncorrected energy, the calculation gives -49.202 eV per cell. The density of states at the Fermi level comes out at 14.812 states/eV per cell. Its symmetry is No. 79.

Structure (POSCAR):
```
Er5TmSc4
1.0
-4.875 4.875 3.046
4.875 -4.875 3.046
4.875 4.875 -3.046
Er Tm Sc
5 1 4
direct
0.000 0.000 0.000
0.486 0.582 0.611
0.582 0.972 0.096
0.875 0.486 0.904
0.972 0.875 0.389
0.459 0.459 0.000
0.174 0.585 0.301
0.284 0.873 0.699
0.585 0.284 0.411
0.873 0.174 0.589
```

Here is a relaxed Er4Tm4Sc crystal from the Alexandria database. Energies are from PBE.

Values from the calculation:
The calculation puts the formation energy at 0.17 eV per atom. For the uncorrected energy, the calculation gives -40.897 eV per cell. The density of states at the Fermi level comes out at 12.656 states/eV per cell. Its symmetry is No. 5.

Structure (POSCAR):
```
Er4Tm4Sc
1.0
5.845 -3.173 0.000
5.845 3.173 0.000
-3.095 0.000 7.378
Er Tm Sc
4 4 1
direct
0.179 0.291 0.877
0.230 0.230 0.393
0.709 0.821 0.123
0.770 0.770 0.607
0.334 0.616 0.301
0.384 0.666 0.699
0.699 0.301 0.000
0.823 0.177 0.500
0.157 0.843 0.000
```

Here is a relaxed ErTm8Sc6 crystal from the Alexandria database. Energies are from PBE.

Values from the calculation:
The calculation puts the formation energy at 0.19 eV per atom. For the uncorrected energy, the calculation gives -75.432 eV per cell. The density of states at the Fermi level comes out at 24.376 states/eV per cell. Its symmetry is No. 148.

Structure (POSCAR):
```
ErTm8Sc6
1.0
4.633 2.675 5.715
-4.633 2.675 5.715
0.000 -5.350 5.715
Er Tm Sc
1 8 6
direct
0.000 0.000 0.000
0.068 0.772 0.637
0.228 0.363 0.932
0.363 0.932 0.228
0.410 0.410 0.410
0.590 0.590 0.590
0.637 0.068 0.772
0.772 0.637 0.068
0.932 0.228 0.363
0.058 0.612 0.290
0.290 0.058 0.612
0.388 0.710 0.942
0.612 0.290 0.058
0.710 0.942 0.388
0.942 0.388 0.710
```

Here is a relaxed Er7TmSc2 crystal from the Alexandria database. Energies are from PBE.

Values from the calculation:
The calculation puts the formation energy at 0.67 eV per atom. For the uncorrected energy, the calculation gives -42.328 eV per cell. The density of states at the Fermi level comes out at 14.460 states/eV per cell. Its symmetry is No. 65.

Structure (POSCAR):
```
Er7TmSc2
1.0
4.341 -7.534 0.000
4.341 7.534 0.000
0.000 0.000 5.489
Er Tm Sc
7 1 2
direct
0.000 0.000 0.000
0.201 0.438 0.000
0.264 0.736 0.500
0.438 0.201 0.000
0.562 0.799 0.000
0.736 0.264 0.500
0.799 0.562 0.000
0.500 0.500 0.500
0.206 0.794 0.000
0.794 0.206 0.000
```

Here is a relaxed Er8Tm3Sc4 crystal from the Alexandria database. Energies are from PBE.

Values from the calculation:
The calculation puts the formation energy at 0.40 eV per atom. For the uncorrected energy, the calculation gives -69.301 eV per cell. The density of states at the Fermi level comes out at 24.299 states/eV per cell. Its symmetry is No. 12.

Structure (POSCAR):
```
Er8Tm3Sc4
1.0
6.508 -5.868 0.000
6.508 5.868 0.000
-2.913 0.000 5.868
Er Tm Sc
8 3 4
direct
0.202 0.202 0.169
0.203 0.797 0.000
0.260 0.740 0.500
0.264 0.264 0.705
0.736 0.736 0.295
0.740 0.260 0.500
0.797 0.203 0.000
0.798 0.798 0.831
0.000 0.000 0.500
0.000 0.500 0.000
0.500 0.000 0.000
0.000 0.500 0.500
0.500 0.000 0.500
0.500 0.500 0.000
0.500 0.500 0.500
```

Here is a relaxed ErTm4Sc3 crystal from the Alexandria database. Energies are from PBE.

Values from the calculation:
The calculation puts the formation energy at 0.05 eV per atom. For the uncorrected energy, the calculation gives -82.077 eV per cell. The density of states at the Fermi level comes out at 26.454 states/eV per cell. Its symmetry is No. 53.

Structure (POSCAR):
```
ErTm4Sc3
1.0
9.635 0.000 0.000
0.000 6.805 0.000
0.000 0.000 6.803
Er Tm Sc
2 8 6
direct
0.000 0.000 0.000
0.500 0.000 0.500
0.000 0.000 0.500
0.000 0.500 0.500
0.250 0.254 0.250
0.250 0.746 0.750
0.500 0.000 0.000
0.500 0.500 0.000
0.750 0.254 0.250
0.750 0.746 0.750
0.000 0.500 0.000
0.250 0.252 0.750
0.250 0.748 0.250
0.500 0.500 0.500
0.750 0.252 0.750
0.750 0.748 0.250
```

Here is a relaxed Er3Tm7Sc2 crystal from the Alexandria database. Energies are from PBE.

Values from the calculation:
The calculation puts the formation energy at 0.24 eV per atom. For the uncorrected energy, the calculation gives -54.770 eV per cell. The density of states at the Fermi level comes out at 18.795 states/eV per cell. Its symmetry is No. 10.

Structure (POSCAR):
```
Er3Tm7Sc2
1.0
3.541 0.000 0.000
0.000 5.364 0.000
-1.796 0.000 19.810
Er Tm Sc
3 7 2
direct
0.000 0.000 0.000
0.329 0.500 0.662
0.671 0.500 0.338
0.090 0.500 0.177
0.214 0.000 0.428
0.430 0.000 0.864
0.500 0.500 0.000
0.570 0.000 0.136
0.786 0.000 0.572
0.910 0.500 0.823
0.141 0.000 0.275
0.859 0.000 0.725
```

Here is a relaxed ErTmSc5 crystal from the Alexandria database. Energies are from PBE.

Values from the calculation:
The calculation puts the formation energy at 0.37 eV per atom. For the uncorrected energy, the calculation gives -38.105 eV per cell. The density of states at the Fermi level comes out at 11.474 states/eV per cell. Its symmetry is No. 123.

Structure (POSCAR):
```
ErTmSc5
1.0
5.040 0.000 0.000
0.000 5.040 0.000
0.000 0.000 7.688
Er Tm Sc
1 1 5
direct
0.000 0.000 0.000
0.500 0.500 0.500
0.000 0.500 0.273
0.000 0.500 0.727
0.500 0.000 0.273
0.500 0.000 0.727
0.500 0.500 0.000
```